(1)
# ZnSn

A relaxed structure of ZnSn (PBE, Alexandria via LeMat-Bulk).

## Properties
- E_form (eV/atom) = 0.1675
- calculated density (g cm⁻³) = 4.678
- total energy (eV/atom) = -2.47
- V (Å³ per atom) = 32.681
- space group = No. 176

```
ZnSn
1.0
10.1476 0.0000 0.0000
-5.0738 8.7881 0.0000
0.0000 0.0000 4.3976
Zn Sn
6 6
direct
0.1968 0.4979 0.2500
0.3011 0.8032 0.2500
0.4979 0.3011 0.7500
0.5021 0.6989 0.2500
0.6989 0.1968 0.7500
0.8032 0.5021 0.7500
0.0001 0.3877 0.7500
0.9999 0.6123 0.2500
0.3876 0.9999 0.7500
0.3877 0.3876 0.2500
0.6124 0.0001 0.2500
0.6123 0.6124 0.7500
```

=====

(2)
# ZnSn3

A relaxed structure of ZnSn3 (PBE, Alexandria via LeMat-Bulk).

## Properties
- E_form (eV/atom) = 0.1245
- calculated density (g cm⁻³) = 6.957
- total energy (eV/atom) = -3.20
- V (Å³ per atom) = 25.153
- space group = No. 139

```
ZnSn3
1.0
4.6674 0.0000 0.0000
0.0000 4.6674 0.0000
0.0000 0.0000 9.2370
Zn Sn
2 6
direct
0.0000 0.0000 0.0000
0.5000 0.5000 0.5000
0.0000 0.0000 0.5000
0.0000 0.5000 0.2500
0.0000 0.5000 0.7500
0.5000 0.0000 0.2500
0.5000 0.0000 0.7500
0.5000 0.5000 0.0000
```

=====

(3)
# ZnSn5

A relaxed structure of ZnSn5 (PBE, Alexandria via LeMat-Bulk).

## Properties
- E_form (eV/atom) = 0.1225
- calculated density (g cm⁻³) = 6.980
- energy above the lowest structure with this stoichiometry (eV per atom) = 0.028
- total energy (eV/atom) = -3.43
- V (Å³ per atom) = 26.127
- space group = No. 65

```
ZnSn5
1.0
3.6785 0.0000 0.0000
0.0000 16.7733 0.0000
0.0000 0.0000 5.0815
Zn Sn
2 10
direct
0.0000 0.0000 0.0000
0.5000 0.5000 0.0000
0.0000 0.1735 0.5000
0.0000 0.3585 0.0000
0.0000 0.5000 0.5000
0.0000 0.6415 0.0000
0.0000 0.8265 0.5000
0.5000 0.0000 0.5000
0.5000 0.1415 0.0000
0.5000 0.3265 0.5000
0.5000 0.6735 0.5000
0.5000 0.8585 0.0000
```

=====

(4)
# ZnSn

A relaxed structure of ZnSn (PBE, Alexandria via LeMat-Bulk).

## Properties
- E_form (eV/atom) = 0.1562
- calculated density (g cm⁻³) = 6.897
- total energy (eV/atom) = -2.48
- V (Å³ per atom) = 22.164
- space group = No. 221

```
ZnSn
1.0
3.5391 0.0000 0.0000
0.0000 3.5391 0.0000
0.0000 0.0000 3.5391
Zn Sn
1 1
direct
0.0000 0.0000 0.0000
0.5000 0.5000 0.5000
```

=====

(5)
# ZnSn

A relaxed structure of ZnSn (PBE, Alexandria via LeMat-Bulk).

## Properties
- E_form (eV/atom) = 0.0818
- calculated density (g cm⁻³) = 6.345
- total energy (eV/atom) = -2.56
- V (Å³ per atom) = 24.092
- space group = No. 67

```
ZnSn
1.0
4.8745 0.0000 0.0000
0.0000 8.3370 0.0000
0.0000 0.0000 4.7426
Zn Sn
4 4
direct
0.2500 0.0000 0.0000
0.2500 0.5000 0.0000
0.7500 0.0000 0.0000
0.7500 0.5000 0.0000
0.0000 0.2500 0.3166
0.0000 0.7500 0.6834
0.5000 0.2500 0.6834
0.5000 0.7500 0.3166
```

=====

(6)
# ZnSn

A relaxed structure of ZnSn (PBE, Alexandria via LeMat-Bulk).

## Properties
- E_form (eV/atom) = 0.1037
- calculated density (g cm⁻³) = 6.758
- total energy (eV/atom) = -2.53
- V (Å³ per atom) = 22.619
- space group = No. 12

```
ZnSn
1.0
7.3661 0.0000 0.0000
0.0000 4.2774 0.0000
-2.5960 0.0000 5.7432
Zn Sn
4 4
direct
0.1457 0.0000 0.4371
0.3543 0.5000 0.5629
0.6457 0.5000 0.4371
0.8543 0.0000 0.5629
0.1075 0.5000 0.8181
0.3925 0.0000 0.1819
0.6075 0.0000 0.8181
0.8925 0.5000 0.1819
```

=====

(7)
# ZrZn2Sn2

A relaxed structure of ZrZn2Sn2 (PBE, Alexandria via LeMat-Bulk).

## Properties
- E_form (eV/atom) = -0.0635
- calculated density (g cm⁻³) = 7.438
- energy above the lowest structure with this stoichiometry (eV per atom) = 0.000
- total energy (eV/atom) = -3.88
- V (Å³ per atom) = 20.514
- space group = No. 127

```
ZrZn2Sn2
1.0
7.5737 0.0000 0.0000
0.0000 7.5737 0.0000
0.0000 0.0000 3.5763
Zr Zn Sn
2 4 4
direct
0.0000 0.0000 0.0000
0.5000 0.5000 0.0000
0.1210 0.3790 0.0000
0.3790 0.8790 0.0000
0.6210 0.1210 0.0000
0.8790 0.6210 0.0000
0.1767 0.6767 0.5000
0.3233 0.1767 0.5000
0.6767 0.8233 0.5000
0.8233 0.3233 0.5000
```

=====

(8)
# ZrZnSn2

A relaxed structure of ZrZnSn2 (PBE, Alexandria via LeMat-Bulk).

## Properties
- E_form (eV/atom) = 0.0257
- calculated density (g cm⁻³) = 7.161
- total energy (eV/atom) = -4.43
- V (Å³ per atom) = 22.845
- space group = No. 122

```
ZrZnSn2
1.0
7.7617 0.0000 0.0000
0.0000 7.7617 0.0000
0.0000 0.0000 6.0673
Zr Zn Sn
4 4 8
direct
0.0000 0.0000 0.0000
0.0000 0.5000 0.2500
0.5000 0.0000 0.7500
0.5000 0.5000 0.5000
0.0000 0.0000 0.5000
0.0000 0.5000 0.7500
0.5000 0.0000 0.2500
0.5000 0.5000 0.0000
0.2164 0.2500 0.6250
0.2500 0.7164 0.8750
0.2500 0.7836 0.3750
0.2836 0.2500 0.1250
0.7164 0.7500 0.1250
0.7500 0.2164 0.3750
0.7500 0.2836 0.8750
0.7836 0.7500 0.6250
```

=====

(9)
# ZrZnSn2

A relaxed structure of ZrZnSn2 (PBE, Alexandria via LeMat-Bulk).

## Properties
- E_form (eV/atom) = -0.1743
- calculated density (g cm⁻³) = 7.601
- total energy (eV/atom) = -4.63
- V (Å³ per atom) = 21.522
- space group = No. 123

```
ZrZnSn2
1.0
4.5848 0.0000 0.0000
0.0000 4.5848 0.0000
0.0000 0.0000 4.0953
Zr Zn Sn
1 1 2
direct
0.0000 0.0000 0.0000
0.5000 0.5000 0.0000
0.0000 0.5000 0.5000
0.5000 0.0000 0.5000
```

=====

(10)
# ZrZn2Sn2

A relaxed structure of ZrZn2Sn2 (PBE, Alexandria via LeMat-Bulk).

## Properties
- E_form (eV/atom) = 0.0278
- calculated density (g cm⁻³) = 7.028
- energy above the lowest structure with this stoichiometry (eV per atom) = 0.091
- total energy (eV/atom) = -3.79
- V (Å³ per atom) = 21.711
- space group = No. 139

```
ZrZn2Sn2
1.0
3.7764 0.0000 0.0000
0.0000 3.7764 0.0000
0.0000 0.0000 15.2241
Zr Zn Sn
2 4 4
direct
0.0000 0.0000 0.0000
0.5000 0.5000 0.5000
0.0000 0.5000 0.2500
0.0000 0.5000 0.7500
0.5000 0.0000 0.2500
0.5000 0.0000 0.7500
0.0000 0.0000 0.3973
0.0000 0.0000 0.6027
0.5000 0.5000 0.1027
0.5000 0.5000 0.8973
```

=====

(11)
# Zr6Zn5Sn

A relaxed structure of Zr6Zn5Sn (PBE, Alexandria via LeMat-Bulk).

## Properties
- E_form (eV/atom) = -0.2962
- calculated density (g cm⁻³) = 7.133
- total energy (eV/atom) = -5.43
- V (Å³ per atom) = 19.267
- space group = No. 71

```
Zr6Zn5Sn
1.0
-2.1893 4.0062 6.5901
2.1893 -4.0062 6.5901
2.1893 4.0062 -6.5901
Zr Zn Sn
6 5 1
direct
0.0762 0.3319 0.7443
0.2361 0.0000 0.2361
0.4124 0.6681 0.7443
0.5876 0.3319 0.2557
0.7639 0.0000 0.7639
0.9238 0.6681 0.2557
0.0000 0.5000 0.5000
0.1712 0.1712 0.0000
0.3310 0.8310 0.5000
0.6690 0.1690 0.5000
0.8288 0.8288 0.0000
0.5000 0.5000 0.0000
```

=====

(12)
# Zr4ZnSn

A relaxed structure of Zr4ZnSn (PBE, Alexandria via LeMat-Bulk).

## Properties
- E_form (eV/atom) = -0.2812
- calculated density (g cm⁻³) = 6.990
- total energy (eV/atom) = -6.86
- V (Å³ per atom) = 21.738
- space group = No. 124

```
Zr4ZnSn
1.0
6.8056 0.0000 0.0000
0.0000 6.8056 0.0000
0.0000 0.0000 5.6320
Zr Zn Sn
8 2 2
direct
0.1423 0.3400 0.0000
0.1423 0.6600 0.5000
0.3400 0.1423 0.5000
0.3400 0.8577 0.0000
0.6600 0.1423 0.0000
0.6600 0.8577 0.5000
0.8577 0.3400 0.5000
0.8577 0.6600 0.0000
0.0000 0.0000 0.2500
0.0000 0.0000 0.7500
0.5000 0.5000 0.2500
0.5000 0.5000 0.7500
```

=====

> The highest calculated density belongs to which entry?

number 9

=====

> Look up the calculated density of the first one.

4.678 g cm⁻³

=====

> Among the records above, which one has the highest V?

number 1

=====

> Among the records above, which one has the lowest V?

Zr6Zn5Sn